1.
This record from the Alexandria database describes a geometry-optimized Ac4MgNi structure. The functional is GGA-PBE.

a b c (Å): 10.567 10.567 10.567
angles (deg): 60.00 60.00 60.00
Fractional positions:
Mg 0.173 0.173 0.481
Mg 0.481 0.173 0.173
Mg 0.173 0.481 0.173
Mg 0.173 0.173 0.173
Ac 0.560 0.940 0.560
Ac 0.813 0.813 0.187
Ac 0.940 0.560 0.560
Ac 0.785 0.405 0.405
Ac 0.560 0.560 0.940
Ac 0.187 0.813 0.187
Ac 0.187 0.187 0.813
Ac 0.813 0.187 0.813
Ac 0.940 0.560 0.940
Ac 0.813 0.187 0.187
Ac 0.560 0.940 0.940
Ac 0.405 0.405 0.405
Ac 0.405 0.785 0.405
Ac 0.940 0.940 0.560
Ac 0.187 0.813 0.813
Ac 0.405 0.405 0.785
Ni 0.178 0.607 0.607
Ni 0.607 0.178 0.607
Ni 0.607 0.607 0.607
Ni 0.607 0.607 0.178

energy of formation = -0.13 eV/atom
SG = F-43m, No. 216

***

2.
This record from the Alexandria database describes a geometry-optimized AcMg11Ni structure. The functional is GGA-PBE.

a b c (Å): 5.648 7.744 7.816
angles (deg): 83.03 68.82 70.37
Fractional positions:
Mg 0.507 0.229 0.793
Mg 0.000 0.000 0.500
Mg 0.300 0.229 0.207
Mg 0.500 0.000 0.500
Mg 0.000 0.500 0.000
Mg 0.018 0.636 0.341
Mg 0.493 0.771 0.207
Mg 0.641 0.364 0.341
Mg 0.359 0.636 0.659
Mg 0.982 0.364 0.659
Mg 0.700 0.771 0.793
Ac 0.000 0.000 0.000
Ni 0.500 0.500 0.000

energy of formation = -0.07 eV/atom
SG = C2/m, No. 12

***

3.
This record from the Alexandria database describes a geometry-optimized AcMgNi structure. The functional is GGA-PBE.

a b c (Å): 4.279 5.635 6.828
angles (deg): 100.39 108.26 90.00
Fractional positions:
Ac 0.867 0.695 0.735
Ac 0.133 0.305 0.265
Mg 0.401 0.204 0.803
Mg 0.599 0.796 0.197
Ni 0.227 0.865 0.454
Ni 0.773 0.135 0.546

energy of formation = -0.22 eV/atom
SG = C2/m, No. 12

***

no.,theoretical density (g cm⁻³)
1,7.890
2,3.059
3,6.707